No. 1
! SmPbAu, optimized geometry, DFT PBE-GGA; values from VASP
! Mass density (Mg/m³): 11.9
! Space group: No. 194
! Size of the total moment (μB per cell): 0.00
! V (Å³/atom): 25.75
! Energy of formation from the pure elements (meV/atom): -554
&SYSTEM
  ibrav = 0, nat = 6, ntyp = 3
/
ATOMIC_SPECIES
Au 196.97 Au.upf
Sm 150.36 Sm.upf
Pb 207.20 Pb.upf
CELL_PARAMETERS angstrom
1.800 4.554 0.246
-4.211 -0.847 -2.365
-3.765 1.149 6.291
ATOMIC_POSITIONS angstrom
Au -3.027 3.616 4.093
Au -3.148 1.240 0.078
Sm -1.883 0.575 3.145
Sm 0.000 0.000 0.000
Pb -5.031 1.815 3.223
Pb -1.145 3.041 0.948

No. 2
! Sm3CuGe, optimized geometry, DFT PBE-GGA; values from VASP
! Mass density (Mg/m³): 7.5
! Space group: No. 2
! Size of the total moment (μB per cell): 0.00
! V (Å³/atom): 26.01
! Energy of formation from the pure elements (meV/atom): -373
&SYSTEM
  ibrav = 0, nat = 10, ntyp = 3
/
ATOMIC_SPECIES
Sm 150.36 Sm.upf
Ge 72.64 Ge.upf
Cu 63.55 Cu.upf
CELL_PARAMETERS angstrom
-2.832 -1.320 2.969
-2.138 -2.932 -6.472
4.648 -6.999 1.320
ATOMIC_POSITIONS angstrom
Sm -0.119 -7.547 -3.567
Sm -1.697 -5.550 -1.063
Sm -4.743 -4.238 -3.383
Sm 1.279 -3.475 -0.429
Sm 1.303 -7.165 1.074
Sm -1.767 -2.162 -2.750
Ge -1.863 -5.079 -4.139
Ge -1.601 -2.633 0.327
Cu -0.148 -8.395 -0.846
Cu 1.330 -6.316 -1.646

No. 3
! ZnReSe, optimized geometry, DFT PBE-GGA; values from VASP
! Mass density (Mg/m³): 10.1
! Space group: No. 216
! Formation energy from raw total energies (eV/atom): 0.70
! Size of the total moment (μB per cell): 0.00
! V (Å³/atom): 18.05
&SYSTEM
  ibrav = 0, nat = 3, ntyp = 3
/
ATOMIC_SPECIES
Se 78.96 Se.upf
Re 186.21 Re.upf
Zn 65.41 Zn.upf
CELL_PARAMETERS angstrom
-0.610 -2.547 -3.343
2.670 0.149 -3.298
2.663 -3.228 -0.724
ATOMIC_POSITIONS angstrom
Se 0.000 0.000 0.000
Re 3.542 -4.219 -5.524
Zn 2.362 -2.813 -3.683

No. 4
! Sc2Ru3, optimized geometry, DFT PBE-GGA; values from VASP
! Mass density (Mg/m³): 7.4
! Space group: No. 43
! Size of the total moment (μB per cell): 0.00
! V (Å³/atom): 17.66
! Energy of formation from the pure elements (meV/atom): -224
&SYSTEM
  ibrav = 0, nat = 10, ntyp = 2
/
ATOMIC_SPECIES
Ru 101.07 Ru.upf
Sc 44.96 Sc.upf
CELL_PARAMETERS angstrom
0.000 4.509 7.270
2.693 0.000 7.270
2.693 4.509 0.000
ATOMIC_POSITIONS angstrom
Ru 3.406 5.156 5.447
Ru 3.406 3.862 9.092
Ru 1.066 2.254 3.635
Ru 4.753 6.116 9.082
Ru 4.753 7.411 12.727
Ru 5.106 4.509 7.270
Sc 3.468 5.170 11.594
Sc 3.468 8.357 10.215
Sc 2.121 2.916 6.580
Sc 2.121 6.102 7.959

No. 5
! BaH2Pd, optimized geometry, DFT PBE-GGA; values from VASP
! Mass density (Mg/m³): 4.3
! Space group: No. 66
! Size of the total moment (μB per cell): 0.00
! V (Å³/atom): 23.81
! Total energy (eV/atom): -3.83
&SYSTEM
  ibrav = 0, nat = 8, ntyp = 3
/
ATOMIC_SPECIES
Ba 137.33 Ba.upf
Pd 106.42 Pd.upf
H 1.01 H.upf
CELL_PARAMETERS angstrom
5.376 0.000 0.000
0.000 7.706 -3.727
0.000 -2.051 5.589
ATOMIC_POSITIONS angstrom
Ba 1.344 4.692 2.327
Ba 4.032 2.890 -1.398
Pd 0.000 1.864 1.397
Pd 2.688 1.864 1.397
H 4.032 3.116 1.398
H 1.344 2.640 0.414
H 4.032 0.613 1.395
H 1.344 1.089 2.379

No. 6
! Ba3Cl, optimized geometry, DFT PBE-GGA; values from VASP
! Mass density (Mg/m³): 3.7
! Space group: No. 166
! Formation energy from raw total energies (eV/atom): -0.85
! Size of the total moment (μB per cell): 0.51
! V (Å³/atom): 50.73
&SYSTEM
  ibrav = 0, nat = 4, ntyp = 2
/
ATOMIC_SPECIES
Ba 137.33 Ba.upf
Cl 35.45 Cl.upf
CELL_PARAMETERS angstrom
12.114 0.011 0.006
11.293 4.383 0.006
11.293 2.120 3.837
ATOMIC_POSITIONS angstrom
Ba 17.350 3.257 1.925
Ba 25.260 4.742 2.802
Ba 9.440 1.772 1.047
Cl 0.000 0.000 0.000

No. 7
! PrHoAs2, optimized geometry, DFT PBE-GGA; values from VASP
! Mass density (Mg/m³): 7.2
! Space group: No. 166
! Size of the total moment (μB per cell): 0.00
! V (Å³/atom): 26.30
! Energy of formation from the pure elements (meV/atom): -1505
&SYSTEM
  ibrav = 0, nat = 4, ntyp = 3
/
ATOMIC_SPECIES
Pr 140.91 Pr.upf
Ho 164.93 Ho.upf
As 74.92 As.upf
CELL_PARAMETERS angstrom
-3.616 -1.333 -1.693
-0.842 -4.120 -0.190
-4.489 -1.488 5.527
ATOMIC_POSITIONS angstrom
Pr 0.000 0.000 0.000
Ho -4.473 -3.471 1.822
As -2.274 -1.731 0.989
As -6.672 -5.210 2.655

No. 8
! H6Se2Cl, optimized geometry, DFT PBE-GGA; values from VASP
! Mass density (Mg/m³): 2.1
! Space group: No. 9
! Size of the total moment (μB per cell): 0.00
! V (Å³/atom): 17.87
! Total energy (eV/atom): -3.14
&SYSTEM
  ibrav = 0, nat = 18, ntyp = 3
/
ATOMIC_SPECIES
H 1.01 H.upf
Se 78.96 Se.upf
Cl 35.45 Cl.upf
CELL_PARAMETERS angstrom
-7.122 0.927 0.332
3.495 -2.706 -6.533
1.106 -5.340 5.302
ATOMIC_POSITIONS angstrom
H -2.855 -3.139 0.848
H -3.242 -5.537 0.542
H 0.475 -4.628 -0.109
H 0.396 -6.333 1.647
H 1.776 -2.038 -3.098
H -3.836 -2.822 -1.764
H -1.917 -2.660 -5.566
H 1.013 -6.728 -0.763
H -5.396 -2.306 1.784
H -2.343 -4.459 -1.234
H -0.178 -2.497 0.809
H -2.188 -5.875 2.715
Se -0.287 -6.270 -0.209
Se 1.156 -2.748 0.166
Se -4.038 -1.587 -3.329
Se -3.666 -4.203 -0.609
Cl -0.197 -0.891 -2.332
Cl -2.281 -2.496 1.980

No. 9
! Na3AuS8, optimized geometry, DFT PBE-GGA; values from VASP
! Mass density (Mg/m³): 3.0
! Space group: No. 8
! Formation energy from raw total energies (eV/atom): -0.33
! Size of the total moment (μB per cell): 0.00
! V (Å³/atom): 24.26
&SYSTEM
  ibrav = 0, nat = 12, ntyp = 3
/
ATOMIC_SPECIES
S 32.06 S.upf
Na 22.99 Na.upf
Au 196.97 Au.upf
CELL_PARAMETERS angstrom
-5.718 -5.525 -3.363
7.112 0.297 -2.164
3.178 -5.130 1.696
ATOMIC_POSITIONS angstrom
S 0.067 -5.408 -3.535
S -3.363 -6.970 -2.057
S -0.423 -2.364 -0.290
S -2.047 -8.308 -1.338
S 4.211 -5.222 -0.470
S 1.557 -5.193 -2.177
S -2.087 -3.003 -1.248
S 6.136 -4.990 0.121
Na 2.794 -2.691 -1.487
Na -0.887 -5.601 -0.622
Na 1.599 -8.016 -2.454
Au 2.986 -5.080 1.588

No. 10
! CrCoTcCl2, optimized geometry, DFT PBE-GGA; values from VASP
! Mass density (Mg/m³): 5.2
! Space group: No. 123
! Formation energy from raw total energies (eV/atom): 1.32
! Size of the total moment (μB per cell): 1.40
! V (Å³/atom): 17.91
&SYSTEM
  ibrav = 0, nat = 5, ntyp = 4
/
ATOMIC_SPECIES
Tc 98.00 Tc.upf
Cl 35.45 Cl.upf
Co 58.93 Co.upf
Cr 52.00 Cr.upf
CELL_PARAMETERS angstrom
-1.876 1.113 -3.786
-2.512 -3.961 0.080
-3.178 2.060 2.180
ATOMIC_POSITIONS angstrom
Tc -1.256 -1.980 0.040
Cl -1.589 1.030 1.090
Cl -0.938 0.557 -1.893
Co 0.000 0.000 0.000
Cr -3.783 -0.394 -0.763

No. 11
! CrCoRe2, optimized geometry, DFT PBE-GGA; values from VASP
! Mass density (Mg/m³): 15.3
! Space group: No. 6
! Size of the total moment (μB per cell): 0.00
! V (Å³/atom): 13.12
! Energy of formation from the pure elements (meV/atom): 83
&SYSTEM
  ibrav = 0, nat = 4, ntyp = 3
/
ATOMIC_SPECIES
Cr 52.00 Cr.upf
Re 186.21 Re.upf
Co 58.93 Co.upf
CELL_PARAMETERS angstrom
-0.533 -4.036 -0.786
2.513 -0.185 -0.756
2.244 -1.119 4.228
ATOMIC_POSITIONS angstrom
Cr 2.986 -2.969 2.284
Re 0.955 -2.364 0.554
Re 4.616 -1.274 3.416
Co 2.804 -0.689 1.640

No. 12
! YAl3Co, optimized geometry, DFT PBE-GGA; values from VASP
! Mass density (Mg/m³): 2.3
! Space group: No. 221
! Size of the total moment (μB per cell): 2.13
! V (Å³/atom): 32.49
! Energy of formation from the pure elements (meV/atom): 1697
&SYSTEM
  ibrav = 0, nat = 5, ntyp = 3
/
ATOMIC_SPECIES
Al 26.98 Al.upf
Y 88.91 Y.upf
Co 58.93 Co.upf
CELL_PARAMETERS angstrom
5.456 0.000 0.000
0.000 5.456 0.000
0.000 0.000 5.456
ATOMIC_POSITIONS angstrom
Al 0.000 2.728 0.000
Al 0.000 0.000 2.728
Al 2.728 0.000 0.000
Y 0.000 0.000 0.000
Co 2.728 2.728 2.728